*A*
First-principles (PBE) data for a relaxed NaGaSnPd crystal, as listed in the Alexandria database.

symmetry: R3m (160)
D(E_F): 5.9 states/eV per cell

abc: 4.4322 4.4322 15.6704
angles: 90.00 90.00 120.00
With the nearest neighbours (Å) after each atom.
Positions (direct):
Na 0.0000 0.0000 0.0000  4 Pd 3.03-3.37, 3 Ga 3.06, 4 Sn 3.21-3.28
Na 0.3333 0.6667 0.6667  4 Pd 3.03-3.37, 3 Ga 3.06, 4 Sn 3.21-3.28
Na 0.6667 0.3333 0.3333  4 Pd 3.03-3.37, 3 Ga 3.06, 4 Sn 3.21-3.28
Ga 0.0000 0.0000 0.5601  3 Pd 2.61
Ga 0.3333 0.6667 0.2268  3 Pd 2.61
Ga 0.6667 0.3333 0.8934  3 Pd 2.61
Sn 0.0000 0.0000 0.7906  3 Pd 2.78, 3 Ga 3.02
Sn 0.3333 0.6667 0.4573  3 Pd 2.78, 3 Ga 3.02
Sn 0.6667 0.3333 0.1240  3 Pd 2.78, 3 Ga 3.02
Pd 0.0000 0.0000 0.1933  3 Ga 2.61, 3 Sn 2.78
Pd 0.3333 0.6667 0.8600  3 Ga 2.61, 3 Sn 2.78
Pd 0.6667 0.3333 0.5266  3 Ga 2.61, 3 Sn 2.78

*B*
First-principles (PBE) data for a relaxed NaGaSnPd crystal, as listed in the Alexandria database.

symmetry: F-43m (216)
D(E_F): 7.8 states/eV per cell

abc: 6.7161 6.7161 6.7161
angles: 90.00 90.00 90.00
With the nearest neighbours (Å) after each atom.
Positions (direct):
Na 0.0000 0.0000 0.0000  4 Sn 2.91, 4 Ga 2.91
Na 0.0000 0.5000 0.5000  4 Sn 2.91, 4 Ga 2.91
Na 0.5000 0.0000 0.5000  4 Sn 2.91, 4 Ga 2.91
Na 0.5000 0.5000 0.0000  4 Sn 2.91, 4 Ga 2.91
Ga 0.2500 0.2500 0.2500  4 Na 2.91, 4 Pd 2.91
Ga 0.2500 0.7500 0.7500  4 Na 2.91, 4 Pd 2.91
Ga 0.7500 0.2500 0.7500  4 Na 2.91, 4 Pd 2.91
Ga 0.7500 0.7500 0.2500  4 Na 2.91, 4 Pd 2.91
Sn 0.2500 0.2500 0.7500  4 Na 2.91, 4 Pd 2.91
Sn 0.2500 0.7500 0.2500  4 Na 2.91, 4 Pd 2.91
Sn 0.7500 0.2500 0.2500  4 Na 2.91, 4 Pd 2.91
Sn 0.7500 0.7500 0.7500  4 Na 2.91, 4 Pd 2.91
Pd 0.0000 0.0000 0.5000  4 Sn 2.91, 4 Ga 2.91
Pd 0.0000 0.5000 0.0000  4 Sn 2.91, 4 Ga 2.91
Pd 0.5000 0.0000 0.0000  4 Sn 2.91, 4 Ga 2.91
Pd 0.5000 0.5000 0.5000  4 Sn 2.91, 4 Ga 2.91

Top of the stability list: *A*, leading by 122 meV per atom.

*A*
First-principles (PBE) data for a relaxed NaGa3Pt crystal, as listed in the Alexandria database.

symmetry: Pnma (62)
D(E_F): 7.4 states/eV per cell

abc: 8.0700 4.1383 11.6273
angles: 90.00 90.00 90.00
With the nearest neighbours (Å) after each atom.
Positions (direct):
Na 0.1755 0.2500 0.0025  8 Ga 3.09-3.31, 2 Pt 3.10
Na 0.3245 0.7500 0.5025  8 Ga 3.09-3.31, 2 Pt 3.10
Na 0.6755 0.2500 0.4975  8 Ga 3.09-3.31, 2 Pt 3.10
Na 0.8245 0.7500 0.9975  8 Ga 3.09-3.31, 2 Pt 3.10
Ga 0.0684 0.2500 0.4165  3 Pt 2.59-2.61, 1 Ga 2.69
Ga 0.0909 0.7500 0.2013  2 Pt 2.49-2.51
Ga 0.1591 0.7500 0.7831  4 Ga 2.69-2.96, 2 Pt 2.70
Ga 0.3409 0.2500 0.2831  4 Ga 2.69-2.96, 2 Pt 2.70
Ga 0.4091 0.2500 0.7013  2 Pt 2.49-2.51
Ga 0.4316 0.7500 0.9165  3 Pt 2.59-2.61, 1 Ga 2.69
Ga 0.5684 0.2500 0.0835  3 Pt 2.59-2.61, 1 Ga 2.69
Ga 0.5909 0.7500 0.2987  2 Pt 2.49-2.51
Ga 0.6591 0.7500 0.7169  4 Ga 2.69-2.96, 2 Pt 2.70
Ga 0.8409 0.2500 0.2169  4 Ga 2.69-2.96, 2 Pt 2.70
Ga 0.9091 0.2500 0.7987  2 Pt 2.49-2.51
Ga 0.9316 0.7500 0.5835  3 Pt 2.59-2.61, 1 Ga 2.69
Pt 0.1144 0.2500 0.6366  7 Ga 2.49-2.70
Pt 0.3856 0.7500 0.1366  7 Ga 2.49-2.70
Pt 0.6144 0.2500 0.8634  7 Ga 2.49-2.70
Pt 0.8856 0.7500 0.3634  7 Ga 2.49-2.70

*B*
First-principles (PBE) data for a relaxed NaGa3Pt crystal, as listed in the Alexandria database.

symmetry: Pm-3m (221)
D(E_F): 3.4 states/eV per cell

abc: 4.9180 4.9180 4.9180
angles: 90.00 90.00 90.00
With the nearest neighbours (Å) after each atom.
Positions (direct):
Na 0.0000 0.0000 0.0000  12 Ga 3.48
Ga 0.0000 0.5000 0.5000  2 Pt 2.46
Ga 0.5000 0.0000 0.5000  2 Pt 2.46
Ga 0.5000 0.5000 0.0000  2 Pt 2.46
Pt 0.5000 0.5000 0.5000  6 Ga 2.46

Top of the stability list: *A*, leading by 194 meV per atom.

*A*
First-principles (PBE) data for a relaxed Na2Ga4Pt3 crystal, as listed in the Alexandria database.

symmetry: Fmmm (69)
D(E_F): 3.5 states/eV per cell

abc: 7.8633 6.8456 5.5666
angles: 77.87 58.33 43.80
With the nearest neighbours (Å) after each atom.
Positions (direct):
Na 0.1182 0.1182 0.8818  1 Na 2.95, 6 Pt 3.15-3.19, 4 Ga 3.17-3.21
Na 0.8818 0.8818 0.1182  1 Na 2.95, 6 Pt 3.15-3.19, 4 Ga 3.17-3.21
Ga 0.1657 0.5066 0.4934  3 Pt 2.60-2.62, 1 Ga 2.63
Ga 0.4934 0.8343 0.1657  3 Pt 2.60-2.62, 1 Ga 2.63
Ga 0.5066 0.1657 0.8343  3 Pt 2.60-2.62, 1 Ga 2.63
Ga 0.8343 0.4934 0.5066  3 Pt 2.60-2.62, 1 Ga 2.63
Pt 0.0000 0.0000 0.5000  4 Ga 2.60, 4 Pt 2.78-2.83
Pt 0.5000 0.5000 0.0000  4 Ga 2.60, 4 Pt 2.78-2.83
Pt 0.5000 0.5000 0.5000  4 Ga 2.62, 4 Pt 2.78

*B*
First-principles (PBE) data for a relaxed Na2Ga4Pt3 crystal, as listed in the Alexandria database.

symmetry: Cmce (64)
D(E_F): 4.4 states/eV per cell

abc: 7.9600 7.9600 7.7508
angles: 90.00 90.00 138.69
With the nearest neighbours (Å) after each atom.
Positions (direct):
Na 0.1082 0.8918 0.9003  4 Pt 3.04-3.33, 8 Ga 3.07-3.25
Na 0.3918 0.6082 0.4003  4 Pt 3.04-3.33, 8 Ga 3.07-3.25
Na 0.6082 0.3918 0.5997  4 Pt 3.04-3.33, 8 Ga 3.07-3.25
Na 0.8918 0.1082 0.0997  4 Pt 3.04-3.33, 8 Ga 3.07-3.25
Ga 0.1831 0.8169 0.5218  5 Pt 2.62-2.73
Ga 0.1926 0.3074 0.7500  3 Pt 2.54-2.55, 2 Ga 2.81
Ga 0.3074 0.1926 0.2500  3 Pt 2.54-2.55, 2 Ga 2.81
Ga 0.3169 0.6831 0.0218  5 Pt 2.62-2.73
Ga 0.6831 0.3169 0.9782  5 Pt 2.62-2.73
Ga 0.6926 0.8074 0.7500  3 Pt 2.54-2.55, 2 Ga 2.81
Ga 0.8074 0.6926 0.2500  3 Pt 2.54-2.55, 2 Ga 2.81
Ga 0.8169 0.1831 0.4782  5 Pt 2.62-2.73
Pt 0.0000 0.0000 0.5000  6 Ga 2.54-2.73
Pt 0.0217 0.4783 0.7500  5 Ga 2.55-2.62, 2 Pt 2.81
Pt 0.4783 0.0217 0.2500  5 Ga 2.55-2.62, 2 Pt 2.81
Pt 0.5000 0.5000 0.0000  6 Ga 2.54-2.73
Pt 0.5217 0.9783 0.7500  5 Ga 2.55-2.62, 2 Pt 2.81
Pt 0.9783 0.5217 0.2500  5 Ga 2.55-2.62, 2 Pt 2.81

Top of the stability list: *B*, leading by 146 meV per atom.

*A*
First-principles (PBE) data for a relaxed NaGa3Pt3 crystal, as listed in the Alexandria database.

symmetry: Pm-3n (223)
D(E_F): 5.0 states/eV per cell

abc: 6.9237 6.9237 6.9237
angles: 90.00 90.00 90.00
With the nearest neighbours (Å) after each atom.
Positions (direct):
Na 0.0000 0.0000 0.0000  12 Pt 3.87, 12 Ga 3.87
Na 0.5000 0.5000 0.5000  12 Pt 3.87, 12 Ga 3.87
Ga 0.0000 0.2500 0.5000  4 Pt 2.45
Ga 0.0000 0.7500 0.5000  4 Pt 2.45
Ga 0.2500 0.5000 0.0000  4 Pt 2.45
Ga 0.5000 0.0000 0.2500  4 Pt 2.45
Ga 0.5000 0.0000 0.7500  4 Pt 2.45
Ga 0.7500 0.5000 0.0000  4 Pt 2.45
Pt 0.0000 0.5000 0.2500  4 Ga 2.45
Pt 0.0000 0.5000 0.7500  4 Ga 2.45
Pt 0.2500 0.0000 0.5000  4 Ga 2.45
Pt 0.5000 0.2500 0.0000  4 Ga 2.45
Pt 0.5000 0.7500 0.0000  4 Ga 2.45
Pt 0.7500 0.0000 0.5000  4 Ga 2.45

*B*
First-principles (PBE) data for a relaxed NaGa3Pt3 crystal, as listed in the Alexandria database.

symmetry: R-3 (148)
D(E_F): 5.6 states/eV per cell

abc: 7.0408 7.0408 7.0408
angles: 58.91 58.91 58.91
With the nearest neighbours (Å) after each atom.
Positions (direct):
Na 0.1607 0.1607 0.1607  6 Pt 2.87-3.00, 6 Ga 2.91-2.94
Na 0.8393 0.8393 0.8393  6 Pt 2.87-3.00, 6 Ga 2.91-2.94
Ga 0.0330 0.5957 0.2213  4 Pt 2.55-2.62, 2 Ga 2.82
Ga 0.2213 0.0330 0.5957  4 Pt 2.55-2.62, 2 Ga 2.82
Ga 0.4043 0.7787 0.9670  4 Pt 2.55-2.62, 2 Ga 2.82
Ga 0.5957 0.2213 0.0330  4 Pt 2.55-2.62, 2 Ga 2.82
Ga 0.7787 0.9670 0.4043  4 Pt 2.55-2.62, 2 Ga 2.82
Ga 0.9670 0.4043 0.7787  4 Pt 2.55-2.62, 2 Ga 2.82
Pt 0.1885 0.6775 0.4239  4 Ga 2.55-2.62
Pt 0.3225 0.5761 0.8115  4 Ga 2.55-2.62
Pt 0.4239 0.1885 0.6775  4 Ga 2.55-2.62
Pt 0.5761 0.8115 0.3225  4 Ga 2.55-2.62
Pt 0.6775 0.4239 0.1885  4 Ga 2.55-2.62
Pt 0.8115 0.3225 0.5761  4 Ga 2.55-2.62

Top of the stability list: *B*, leading by 169 meV per atom.

*A*
First-principles (PBE) data for a relaxed NaGa5Pt3 crystal, as listed in the Alexandria database.

symmetry: C2/m (12)
D(E_F): 6.0 states/eV per cell

abc: 7.3939 7.3939 8.6924
angles: 111.66 111.66 66.41
With the nearest neighbours (Å) after each atom.
Positions (direct):
Na 0.1529 0.1529 0.3505  3 Pt 2.73-2.90
Na 0.8471 0.8471 0.6495  3 Pt 2.73-2.90
Ga 0.0522 0.6531 0.2918  3 Pt 2.46-2.53
Ga 0.2121 0.2121 0.0366  3 Pt 2.50-2.58
Ga 0.3045 0.6955 0.0000  3 Pt 2.47-2.56
Ga 0.3469 0.9478 0.7082  3 Pt 2.46-2.53
Ga 0.4109 0.4109 0.6415  3 Pt 2.46-2.53
Ga 0.5891 0.5891 0.3585  3 Pt 2.46-2.53
Ga 0.6531 0.0522 0.2918  3 Pt 2.46-2.53
Ga 0.6955 0.3045 0.0000  3 Pt 2.47-2.56
Ga 0.7879 0.7879 0.9634  3 Pt 2.50-2.58
Ga 0.9478 0.3469 0.7082  3 Pt 2.46-2.53
Pt 0.0000 0.0000 0.0000  4 Ga 2.47-2.50
Pt 0.0000 0.0000 0.5000  4 Ga 2.51, 2 Na 2.73
Pt 0.3218 0.3218 0.8442  6 Ga 2.46-2.58
Pt 0.3819 0.3819 0.3349  5 Ga 2.46-2.53
Pt 0.6181 0.6181 0.6651  5 Ga 2.46-2.53
Pt 0.6782 0.6782 0.1558  6 Ga 2.46-2.58

*B*
First-principles (PBE) data for a relaxed NaGa5Pt3 crystal, as listed in the Alexandria database.

symmetry: Cmcm (63)
D(E_F): 6.8 states/eV per cell

abc: 6.8954 6.8954 13.1155
angles: 90.00 90.00 146.02
With the nearest neighbours (Å) after each atom.
Positions (direct):
Na 0.1589 0.8411 0.7500  7 Pt 3.47-3.76, 8 Ga 3.60-3.68
Na 0.8411 0.1589 0.2500  7 Pt 3.47-3.76, 8 Ga 3.60-3.68
Ga 0.0000 0.0000 0.0000  4 Pt 2.54
Ga 0.0000 0.0000 0.5000  4 Pt 2.54
Ga 0.2046 0.7954 0.0692  4 Pt 2.47-2.76
Ga 0.2046 0.7954 0.4308  4 Pt 2.47-2.76
Ga 0.4470 0.5530 0.6515  4 Pt 2.58-2.62, 1 Ga 2.58
Ga 0.4470 0.5530 0.8485  4 Pt 2.58-2.62, 1 Ga 2.58
Ga 0.5530 0.4470 0.1515  4 Pt 2.58-2.62, 1 Ga 2.58
Ga 0.5530 0.4470 0.3485  4 Pt 2.58-2.62, 1 Ga 2.58
Ga 0.7954 0.2046 0.5692  4 Pt 2.47-2.76
Ga 0.7954 0.2046 0.9308  4 Pt 2.47-2.76
Pt 0.1266 0.8734 0.2500  6 Ga 2.58
Pt 0.3892 0.6108 0.0387  7 Ga 2.47-2.76
Pt 0.3892 0.6108 0.4613  7 Ga 2.47-2.76
Pt 0.6108 0.3892 0.5387  7 Ga 2.47-2.76
Pt 0.6108 0.3892 0.9613  7 Ga 2.47-2.76
Pt 0.8734 0.1266 0.7500  6 Ga 2.58

Top of the stability list: *B*, leading by 98 meV per atom.